# CaTm2Te | Alexandria | PBE-GGA | relaxed
# ρ   6.0 g cm⁻³
# D(E_F)   0.9909 states/eV/atom
data_CaTm2Te
_chemical_formula_sum 'Ca3 Tm6 Te3'
_symmetry_space_group_name_H-M 'R -3 m'
_symmetry_Int_Tables_number 166
_symmetry_space_group_name_Hall '-R 3 2"'
_cell_length_a 3.8279
_cell_length_b 3.8279
_cell_length_c 32.8635
_cell_angle_alpha 90.00
_cell_angle_beta 90.00
_cell_angle_gamma 120.00
loop_
_atom_site_label
_atom_site_type_symbol
_atom_site_fract_x
_atom_site_fract_y
_atom_site_fract_z
Ca1 Ca 0.0000 0.0000 0.0000
Tm1 Tm 0.0000 0.0000 0.1046
Te1 Te 0.0000 0.0000 0.5000

# ZnCr2Cl | Alexandria | PBE-GGA | relaxed
# ρ   4.5 g cm⁻³
# E above lowest polymorph   1.74 eV per formula unit
# D(E_F)   0.8881 states/eV/atom
data_ZnCr2Cl
_chemical_formula_sum 'Zn1 Cr2 Cl1'
_symmetry_space_group_name_H-M 'P m m m'
_symmetry_Int_Tables_number 47
_cell_length_a 3.1799
_cell_length_b 4.2023
_cell_length_c 5.6134
_cell_angle_alpha 90.00
_cell_angle_beta 90.00
_cell_angle_gamma 90.00
loop_
_symmetry_equiv_pos_as_xyz
'x,y,z'
'-x,-y,-z'
'-x,-y,z'
'x,y,-z'
'x,-y,-z'
'-x,y,z'
'-x,y,-z'
'x,-y,z'
loop_
_atom_site_label
_atom_site_type_symbol
_atom_site_fract_x
_atom_site_fract_y
_atom_site_fract_z
Zn1 Zn 0.0000 0.0000 0.0000
Cr1 Cr 0.0000 0.5000 0.5000
Cr2 Cr 0.5000 0.5000 0.0000
Cl1 Cl 0.5000 0.0000 0.5000

# BiMo3Se | Alexandria | PBE-GGA | relaxed
# ρ   7.4 g cm⁻³
# E above lowest polymorph   7.30 eV per formula unit
# D(E_F)   1.3081 states/eV/atom
data_BiMo3Se
_chemical_formula_sum 'Bi1 Mo3 Se1'
_symmetry_space_group_name_H-M 'P m -3 m'
_symmetry_Int_Tables_number 221
_symmetry_space_group_name_Hall '-P 4 2 3'
_cell_length_a 5.0601
_cell_length_b 5.0601
_cell_length_c 5.0601
_cell_angle_alpha 90.00
_cell_angle_beta 90.00
_cell_angle_gamma 90.00
loop_
_atom_site_label
_atom_site_type_symbol
_atom_site_fract_x
_atom_site_fract_y
_atom_site_fract_z
Bi1 Bi 0.0000 0.0000 0.0000
Mo1 Mo 0.0000 0.0000 0.5000
Se1 Se 0.5000 0.5000 0.5000

| no. | ΔE_f (raw) (eV per atom) | calculated volume (Å³/cell) |
| --- | --- | --- |
| 1 | -0.26 | 417 |
| 2 | 0.55 | 75 |
| 3 | 2.50 | 130 |